Record 1
# SmY2HoP4 PBE optimized geometry
data_SmY2HoP4
_space_group_name_H-M_alt 'P 1 2/m 1'
_space_group_IT_number 10
_space_group_name_Hall '-P 2y'
_cell_length_a 6.981
_cell_length_b 4.033
_cell_length_c 6.981
_cell_angle_alpha 90.00
_cell_angle_beta 109.47
_cell_angle_gamma 90.00
loop_
_atom_site_label
_atom_site_type_symbol
_atom_site_fract_x
_atom_site_fract_y
_atom_site_fract_z
Sm1 Sm 0.000 0.000 0.000
Y1 Y 0.500 0.000 0.500
Y2 Y 0.500 0.500 0.000
Ho1 Ho 0.000 0.500 0.500
P1 P 0.250 0.000 0.747
P2 P 0.253 0.500 0.254
# - Energy of formation: -1.607 eV/atom


Record 2
# Ce4Ge6Rh7 PBE optimized geometry
data_Ce4Ge6Rh7
_space_group_name_H-M_alt 'I m -3 m'
_space_group_IT_number 229
_space_group_name_Hall '-I 4 2 3'
_cell_length_a 8.499
_cell_length_b 8.499
_cell_length_c 8.499
_cell_angle_alpha 90.00
_cell_angle_beta 90.00
_cell_angle_gamma 90.00
loop_
_atom_site_label
_atom_site_type_symbol
_atom_site_fract_x
_atom_site_fract_y
_atom_site_fract_z
Ce1 Ce 0.250 0.250 0.250
Ge1 Ge 0.000 0.000 0.321
Rh1 Rh 0.000 0.000 0.000
Rh2 Rh 0.000 0.250 0.500
# - Energy of formation: -0.874 eV/atom


Record 3
# Ti2InAuS PBE optimized geometry
data_Ti2InAuS
_space_group_name_H-M_alt 'P 4/m m m'
_space_group_IT_number 123
_space_group_name_Hall '-P 4 2'
_cell_length_a 4.521
_cell_length_b 4.521
_cell_length_c 4.798
_cell_angle_alpha 90.00
_cell_angle_beta 90.00
_cell_angle_gamma 90.00
loop_
_atom_site_label
_atom_site_type_symbol
_atom_site_fract_x
_atom_site_fract_y
_atom_site_fract_z
Ti1 Ti 0.000 0.500 0.000
In1 In 0.000 0.000 0.500
Au1 Au 0.500 0.500 0.500
S1 S 0.500 0.500 0.000
# - Energy relative to the elements, uncorrected: -0.212 eV/atom


Record 4
# LiGaAu3 PBE optimized geometry
data_LiGaAu3
_space_group_name_H-M_alt 'P 1 21/m 1'
_space_group_IT_number 11
_space_group_name_Hall '-P 2yb'
_cell_length_a 4.814
_cell_length_b 4.693
_cell_length_c 7.720
_cell_angle_alpha 90.00
_cell_angle_beta 107.62
_cell_angle_gamma 90.00
loop_
_atom_site_label
_atom_site_type_symbol
_atom_site_fract_x
_atom_site_fract_y
_atom_site_fract_z
Li1 Li 0.099 0.250 0.297
Ga1 Ga 0.296 0.250 0.704
Au1 Au 0.108 0.750 0.115
Au2 Au 0.294 0.750 0.502
Au3 Au 0.493 0.750 0.885
# - Energy of formation: -0.353 eV/atom
# - ΔE to the lowest computed polymorph: 0 meV per atom


Result set for final energy: -7.090; -6.927; -5.398; -3.308 eV/atom, one per record in the order listed.
Result set for Fermi-level density of states: 0.86; 35.31; 1.91; 2.95 states/eV/cell, one per record in the order listed.